TeIrOs2 | PBE | optimized geometry

Values from the calculation:
formation energy from raw total energies	3.85	eV/f.u.
energy	-61.2	eV/cell

Structure (CIF):
```
data_TeIrOs2
_chemical_formula_sum 'Te2 Ir2 Os4'
_symmetry_space_group_name_H-M 'C m m 2'
_symmetry_Int_Tables_number 35
_symmetry_space_group_name_Hall 'C 2 -2'
_cell_length_a 2.830
_cell_length_b 4.996
_cell_length_c 9.635
_cell_angle_alpha 90.00
_cell_angle_beta 90.00
_cell_angle_gamma 90.00
loop_
_atom_site_label
_atom_site_type_symbol
_atom_site_fract_x
_atom_site_fract_y
_atom_site_fract_z
_atom_site_occupancy
Te1 Te 0.000 0.000 0.000 1
Ir1 Ir 0.000 0.500 0.734 1
Os1 Os 0.000 0.000 0.497 1
Os2 Os 0.000 0.500 0.274 1
```